1.
# Pr3Ga2Pd6 PBE-GGA optimized geometry
# final energy = -5.485 eV/atom
# Fermi-level density of states = 6.413 states/eV/f.u.
# volume = 447.6 Å³ per cell
# space group = Im-3m
data_Pr3Ga2Pd6
_chemical_formula_sum 'Pr6 Ga4 Pd12'
_symmetry_space_group_name_H-M 'P 1'
_symmetry_Int_Tables_number 1
_cell_length_a 8.346
_cell_length_b 8.346
_cell_length_c 8.346
_cell_angle_alpha 109.47
_cell_angle_beta 109.47
_cell_angle_gamma 109.47
loop_
_symmetry_equiv_pos_as_xyz
'x,y,z'
loop_
_atom_site_label
_atom_site_fract_x
_atom_site_fract_y
_atom_site_fract_z
_atom_site_occupancy
Pr1 0.709 0.000 0.709 1
Pr2 0.291 0.000 0.291 1
Pr3 0.000 0.291 0.291 1
Pr4 0.000 0.709 0.709 1
Pr5 0.291 0.291 0.000 1
Pr6 0.709 0.709 0.000 1
Ga1 0.000 0.500 0.000 1
Ga2 0.500 0.000 0.000 1
Ga3 0.000 0.000 0.500 1
Ga4 0.500 0.500 0.500 1
Pd1 0.669 0.338 0.669 1
Pd2 0.669 0.000 0.331 1
Pd3 0.331 0.000 0.669 1
Pd4 0.331 0.662 0.331 1
Pd5 0.000 0.669 0.331 1
Pd6 0.662 0.331 0.331 1
Pd7 0.338 0.669 0.669 1
Pd8 0.000 0.331 0.669 1
Pd9 0.331 0.669 0.000 1
Pd10 0.669 0.669 0.338 1
Pd11 0.331 0.331 0.662 1
Pd12 0.669 0.331 0.000 1

2.
# PrGa3Pd10 PBE-GGA optimized geometry
# final energy = -5.223 eV/atom
# Fermi-level density of states = 3.390 states/eV/f.u.
# volume = 489.6 Å³ per cell
# space group = Fm-3m
data_PrGa3Pd10
_chemical_formula_sum 'Pr2 Ga6 Pd20'
_symmetry_space_group_name_H-M 'P 1'
_symmetry_Int_Tables_number 1
_cell_length_a 8.847
_cell_length_b 8.847
_cell_length_c 8.847
_cell_angle_alpha 60.00
_cell_angle_beta 60.00
_cell_angle_gamma 60.00
loop_
_symmetry_equiv_pos_as_xyz
'x,y,z'
loop_
_atom_site_label
_atom_site_fract_x
_atom_site_fract_y
_atom_site_fract_z
_atom_site_occupancy
Pr1 0.250 0.250 0.250 1
Pr2 0.750 0.750 0.750 1
Ga1 0.731 0.731 0.269 1
Ga2 0.731 0.269 0.731 1
Ga3 0.269 0.731 0.731 1
Ga4 0.269 0.269 0.731 1
Ga5 0.731 0.269 0.269 1
Ga6 0.269 0.731 0.269 1
Pd1 0.000 0.000 0.345 1
Pd2 0.000 0.345 0.000 1
Pd3 0.345 0.000 0.000 1
Pd4 0.655 0.345 0.000 1
Pd5 0.382 0.382 0.382 1
Pd6 0.146 0.618 0.618 1
Pd7 0.382 0.854 0.382 1
Pd8 0.655 0.000 0.345 1
Pd9 0.382 0.382 0.854 1
Pd10 0.854 0.382 0.382 1
Pd11 0.618 0.618 0.146 1
Pd12 0.000 0.000 0.655 1
Pd13 0.345 0.655 0.000 1
Pd14 0.000 0.655 0.345 1
Pd15 0.000 0.345 0.655 1
Pd16 0.655 0.000 0.000 1
Pd17 0.618 0.618 0.618 1
Pd18 0.000 0.655 0.000 1
Pd19 0.618 0.146 0.618 1
Pd20 0.345 0.000 0.655 1

3.
# PrGa2Pd6 PBE-GGA optimized geometry
# final energy = -4.998 eV/atom
# Fermi-level density of states = 2.221 states/eV/f.u.
# volume = 368.0 Å³ per cell
# space group = Fd-3m
data_PrGa2Pd6
_chemical_formula_sum 'Pr2 Ga4 Pd12'
_symmetry_space_group_name_H-M 'P 1'
_symmetry_Int_Tables_number 1
_cell_length_a 8.044
_cell_length_b 8.044
_cell_length_c 8.044
_cell_angle_alpha 60.00
_cell_angle_beta 60.00
_cell_angle_gamma 60.00
loop_
_symmetry_equiv_pos_as_xyz
'x,y,z'
loop_
_atom_site_label
_atom_site_fract_x
_atom_site_fract_y
_atom_site_fract_z
_atom_site_occupancy
Pr1 0.500 0.500 0.500 1
Pr2 0.750 0.750 0.750 1
Ga1 0.125 0.125 0.125 1
Ga2 0.125 0.625 0.125 1
Ga3 0.125 0.125 0.625 1
Ga4 0.625 0.125 0.125 1
Pd1 0.251 0.251 0.749 1
Pd2 0.749 0.749 0.251 1
Pd3 0.251 0.749 0.251 1
Pd4 0.251 0.749 0.749 1
Pd5 0.501 0.501 0.999 1
Pd6 0.501 0.999 0.999 1
Pd7 0.749 0.251 0.749 1
Pd8 0.999 0.999 0.501 1
Pd9 0.501 0.999 0.501 1
Pd10 0.999 0.501 0.501 1
Pd11 0.749 0.251 0.251 1
Pd12 0.999 0.501 0.999 1

4.
# Pr3Ga6Pd5 PBE-GGA optimized geometry
# final energy = -4.957 eV/atom
# Fermi-level density of states = 7.317 states/eV/f.u.
# volume = 542.1 Å³ per cell
# space group = Pmmn
data_Pr3Ga6Pd5
_chemical_formula_sum 'Pr6 Ga12 Pd10'
_symmetry_space_group_name_H-M 'P 1'
_symmetry_Int_Tables_number 1
_cell_length_a 4.391
_cell_length_b 9.384
_cell_length_c 13.155
_cell_angle_alpha 90.00
_cell_angle_beta 90.00
_cell_angle_gamma 90.00
loop_
_symmetry_equiv_pos_as_xyz
'x,y,z'
loop_
_atom_site_label
_atom_site_fract_x
_atom_site_fract_y
_atom_site_fract_z
_atom_site_occupancy
Pr1 0.000 0.250 0.696 1
Pr2 0.500 0.750 0.196 1
Pr3 0.500 0.750 0.804 1
Pr4 0.000 0.249 0.000 1
Pr5 0.500 0.751 0.500 1
Pr6 0.000 0.250 0.304 1
Ga1 0.000 0.979 0.848 1
Ga2 0.500 0.021 0.652 1
Ga3 0.500 0.406 0.822 1
Ga4 0.500 0.570 0.000 1
Ga5 0.000 0.430 0.500 1
Ga6 0.000 0.594 0.678 1
Ga7 0.000 0.594 0.322 1
Ga8 0.500 0.962 0.000 1
Ga9 0.000 0.979 0.152 1
Ga10 0.500 0.406 0.178 1
Ga11 0.000 0.038 0.500 1
Ga12 0.500 0.021 0.348 1
Pd1 0.000 0.531 0.886 1
Pd2 0.000 0.873 0.659 1
Pd3 0.000 0.794 0.000 1
Pd4 0.500 0.469 0.614 1
Pd5 0.500 0.206 0.500 1
Pd6 0.000 0.531 0.114 1
Pd7 0.500 0.469 0.386 1
Pd8 0.000 0.873 0.341 1
Pd9 0.500 0.127 0.841 1
Pd10 0.500 0.127 0.159 1

5.
# Pr2Ga3Pd2 PBE-GGA optimized geometry
# final energy = -4.883 eV/atom
# Fermi-level density of states = 3.442 states/eV/f.u.
# volume = 144.8 Å³ per cell
# relative energy among the computed polymorphs = 0.021 eV per atom
# space group = C2/m
data_Pr2Ga3Pd2
_chemical_formula_sum 'Pr2 Ga3 Pd2'
_symmetry_space_group_name_H-M 'P 1'
_symmetry_Int_Tables_number 1
_cell_length_a 4.461
_cell_length_b 5.685
_cell_length_c 6.844
_cell_angle_alpha 112.83
_cell_angle_beta 90.00
_cell_angle_gamma 113.10
loop_
_symmetry_equiv_pos_as_xyz
'x,y,z'
loop_
_atom_site_label
_atom_site_fract_x
_atom_site_fract_y
_atom_site_fract_z
_atom_site_occupancy
Pr1 0.850 0.700 0.228 1
Pr2 0.150 0.300 0.772 1
Ga1 0.500 0.000 0.000 1
Ga2 0.616 0.233 0.436 1
Ga3 0.384 0.767 0.564 1
Pd1 0.865 0.729 0.776 1
Pd2 0.135 0.271 0.224 1

6.
# Pr2GaPd4 PBE-GGA optimized geometry
# final energy = -5.401 eV/atom
# Fermi-level density of states = 1.616 states/eV/f.u.
# volume = 160.5 Å³ per cell
# relative energy among the computed polymorphs = 0.000 eV per atom
# space group = I4/mmm
data_Pr2GaPd4
_chemical_formula_sum 'Pr2 Ga1 Pd4'
_symmetry_space_group_name_H-M 'P 1'
_symmetry_Int_Tables_number 1
_cell_length_a 6.218
_cell_length_b 6.218
_cell_length_c 6.046
_cell_angle_alpha 120.93
_cell_angle_beta 120.93
_cell_angle_gamma 90.02
loop_
_symmetry_equiv_pos_as_xyz
'x,y,z'
loop_
_atom_site_label
_atom_site_fract_x
_atom_site_fract_y
_atom_site_fract_z
_atom_site_occupancy
Pr1 0.750 0.250 0.500 1
Pr2 0.250 0.750 0.500 1
Ga1 0.000 0.000 0.000 1
Pd1 0.719 0.281 0.000 1
Pd2 0.281 0.719 0.000 1
Pd3 0.281 0.281 0.000 1
Pd4 0.719 0.719 0.000 1

7.
# Pr2Ga2Pd15 PBE-GGA optimized geometry
# final energy = -5.322 eV/atom
# Fermi-level density of states = 18.973 states/eV/f.u.
# volume = 334.1 Å³ per cell
# space group = R-3m
data_Pr2Ga2Pd15
_chemical_formula_sum 'Pr2 Ga2 Pd15'
_symmetry_space_group_name_H-M 'P 1'
_symmetry_Int_Tables_number 1
_cell_length_a 7.007
_cell_length_b 7.007
_cell_length_c 7.007
_cell_angle_alpha 81.70
_cell_angle_beta 81.70
_cell_angle_gamma 81.70
loop_
_symmetry_equiv_pos_as_xyz
'x,y,z'
loop_
_atom_site_label
_atom_site_fract_x
_atom_site_fract_y
_atom_site_fract_z
_atom_site_occupancy
Pr1 0.345 0.345 0.345 1
Pr2 0.655 0.655 0.655 1
Ga1 0.100 0.100 0.100 1
Ga2 0.900 0.900 0.900 1
Pd1 0.500 0.000 0.000 1
Pd2 0.000 0.000 0.500 1
Pd3 0.000 0.500 0.000 1
Pd4 0.000 0.699 0.301 1
Pd5 0.699 0.301 0.000 1
Pd6 0.301 0.000 0.699 1
Pd7 0.301 0.699 0.000 1
Pd8 0.699 0.000 0.301 1
Pd9 0.000 0.301 0.699 1
Pd10 0.153 0.653 0.653 1
Pd11 0.653 0.653 0.153 1
Pd12 0.653 0.153 0.653 1
Pd13 0.847 0.347 0.347 1
Pd14 0.347 0.347 0.847 1
Pd15 0.347 0.847 0.347 1

8.
# Pr3Ga2Pd PBE-GGA optimized geometry
# final energy = -4.878 eV/atom
# Fermi-level density of states = 5.488 states/eV/f.u.
# volume = 638.2 Å³ per cell
# space group = Pnma
data_Pr3Ga2Pd
_chemical_formula_sum 'Pr12 Ga8 Pd4'
_symmetry_space_group_name_H-M 'P 1'
_symmetry_Int_Tables_number 1
_cell_length_a 4.496
_cell_length_b 11.556
_cell_length_c 12.283
_cell_angle_alpha 90.00
_cell_angle_beta 90.00
_cell_angle_gamma 90.00
loop_
_symmetry_equiv_pos_as_xyz
'x,y,z'
loop_
_atom_site_label
_atom_site_fract_x
_atom_site_fract_y
_atom_site_fract_z
_atom_site_occupancy
Pr1 0.250 0.378 0.046 1
Pr2 0.750 0.622 0.954 1
Pr3 0.750 0.878 0.454 1
Pr4 0.250 0.122 0.546 1
Pr5 0.250 0.702 0.227 1
Pr6 0.750 0.298 0.773 1
Pr7 0.750 0.202 0.273 1
Pr8 0.250 0.798 0.727 1
Pr9 0.250 0.443 0.379 1
Pr10 0.750 0.557 0.621 1
Pr11 0.750 0.943 0.121 1
Pr12 0.250 0.057 0.879 1
Ga1 0.250 0.696 0.487 1
Ga2 0.750 0.304 0.513 1
Ga3 0.750 0.196 0.013 1
Ga4 0.250 0.804 0.987 1
Ga5 0.250 0.994 0.306 1
Ga6 0.750 0.006 0.694 1
Ga7 0.750 0.494 0.194 1
Ga8 0.250 0.506 0.806 1
Pd1 0.250 0.125 0.122 1
Pd2 0.750 0.875 0.878 1
Pd3 0.750 0.625 0.378 1
Pd4 0.250 0.375 0.622 1

Record order is preserved below.
Formation energy: -0.799, -0.524, -0.332, -0.781, -0.737, -0.635, -0.400, -0.613 eV per atom
Record order is preserved below.
Mass density: 8.91, 9.59, 8.29, 8.41, 8.07, 8.04, 10.03, 6.96 g cm⁻³